Below is a relaxed YNb4Te2 crystal, with properties calculated at the PBE level.

Cell: 4.882 4.882 14.356 Å, 90.00 90.00 90.00°
Space group I4/mmm (No. 139)
Symmetry-distinct sites (fractional):
Y  0.000  0.000  0.000 (multiplicity 2)
Nb  0.000  0.000  0.193 (multiplicity 4)
Nb  0.000  0.500  0.000 (multiplicity 4)
Te  0.000  0.000  0.377 (multiplicity 4)

formation energy (no corrections): 1.354 eV/atom
final energy: -6.22 eV/atom



Below is a relaxed ZnH8O4F2 crystal, with properties calculated at the PBE level.

Cell: 12.651 5.330 7.496 Å, 90.00 90.00 90.00°
Space group Pca2_1 (No. 29)
Symmetry-distinct sites (fractional):
Zn  0.124  0.198  0.000 (multiplicity 4)
H  0.018  0.480  0.243 (multiplicity 4)
H  0.077  0.935  0.385 (multiplicity 4)
H  0.078  0.946  0.599 (multiplicity 4)
H  0.121  0.631  0.185 (multiplicity 4)
H  0.137  0.753  0.822 (multiplicity 4)
H  0.173  0.370  0.402 (multiplicity 4)
H  0.175  0.377  0.615 (multiplicity 4)
H  0.232  0.931  0.759 (multiplicity 4)
O  0.031  0.935  0.493 (multiplicity 4)
O  0.095  0.456  0.210 (multiplicity 4)
O  0.156  0.932  0.797 (multiplicity 4)
O  0.218  0.337  0.508 (multiplicity 4)
F  0.100  0.463  0.797 (multiplicity 4)
F  0.151  0.926  0.199 (multiplicity 4)

final energy: -4.76 eV/atom



Below is a relaxed Dy4Y3Sc crystal, with properties calculated at the PBE level.

Cell: 11.155 7.198 6.225 Å, 90.00 90.00 90.00°
Space group Pmn2_1 (No. 31)
Symmetry-distinct sites (fractional):
Dy  0.000  0.125  0.000 (multiplicity 2)
Dy  0.000  0.874  0.493 (multiplicity 2)
Dy  0.245  0.873  0.829 (multiplicity 4)
Y  0.000  0.376  0.492 (multiplicity 2)
Y  0.249  0.376  0.826 (multiplicity 4)
Sc  0.000  0.625  0.992 (multiplicity 2)

energy of formation: 15 meV per atom
final energy: -5.50 eV/atom



| no. | DOS at the Fermi energy (states/eV per atom) |
| --- | --- |
| 1 | 1.05 |
| 2 | 0.00 |
| 3 | 1.81 |